DFT (PBE with a Hubbard U) results for a geometry-optimized Tm2HgWO8 structure.

Electronic total energy   -81.64 eV for the cell shown
Calculated volume   168.63 Å³/cell
Theoretical density   8.37 g cm⁻³

Cell lengths 4.9523, 4.9523, 6.9137 Å; angles 93.48, 93.48, 86.34 degrees
Sites, in units of the cell vectors:
Tm  0.0141  0.0141  0.2462
Tm  0.9859  0.9859  0.7538
Hg  0.5000  0.5000  0.5000
W  0.5000  0.5000  0.0000
O  0.1968  0.8032  0.5000
O  0.2131  0.7869  0.0000
O  0.2876  0.2876  0.8220
O  0.3384  0.3384  0.2297
O  0.6616  0.6616  0.7703
O  0.7124  0.7124  0.1780
O  0.7869  0.2131  0.0000
O  0.8032  0.1968  0.5000